Record 1
ThSiNi6B, optimized geometry, DFT GGA-PBE; V = 125 Å³/f.u.; SG = Imma (74); formation energy (no corrections) = -0.190 eV/atom
1.0
6.361 0.000 0.000
0.000 7.661 0.000
-3.180 -3.830 5.139
Ni Si Th B
12 2 2 2
Cartesian
4.608 -0.114 1.267
1.753 -0.114 1.267
1.428 -0.114 3.872
0.000 5.746 0.997
3.180 1.915 0.454
1.428 3.944 3.872
0.000 1.915 4.685
-1.428 -0.114 3.872
-1.428 3.944 3.872
4.608 3.944 1.267
3.180 -1.915 4.143
1.753 3.944 1.267
1.590 -1.915 2.570
-1.590 -1.915 2.570
3.180 1.915 3.366
0.000 1.915 1.774
3.180 0.000 0.000
3.180 3.830 0.000

---

Record 2
YSnP2O, optimized geometry, DFT GGA-PBE; energy above the most stable polymorph in this dataset = 0.70 eV per formula unit; V = 123 Å³/f.u.; SG = P4/mmm (123); formation energy (no corrections) = -0.230 eV/atom
1.0
-4.412 -0.851 3.044
-1.344 -4.227 -3.129
2.201 -2.537 2.481
P O Sn Y
2 1 1 1
Cartesian
-2.206 -0.426 1.522
-0.672 -2.113 -1.565
1.101 -1.268 1.241
-1.777 -3.807 1.198
0.000 0.000 0.000